{
  "formula": "LuTl2Cu",
  "functional": "PBE",
  "state": "optimized geometry",
  "crystal_system": "tetragonal",
  "formation_enthalpy_0k_mev_per_atom": -22,
  "energy_ev_per_cell": -13.44,
  "rho_kg_m3": 11818,
  "lattice": [[4.674, 0.000, 0.000], [0.000, 4.674, 0.000], [0.000, 0.000, 4.163]],
  "species": ["Lu", "Tl", "Tl", "Cu"],
  "fractional_positions": [[0.000, 0.000, 0.000], [0.000, 0.500, 0.500], [0.500, 0.000, 0.500], [0.500, 0.500, 0.000]]
}

{
  "formula": "LuTlCu",
  "functional": "PBE",
  "state": "optimized geometry",
  "crystal_system": "hexagonal",
  "formation_enthalpy_0k_mev_per_atom": -186,
  "energy_ev_per_cell": -11.54,
  "rho_kg_m3": 11488,
  "lattice": [[4.639, 0.000, 0.000], [-2.320, 4.018, 0.000], [0.000, 0.000, 3.434]],
  "species": ["Lu", "Tl", "Cu"],
  "fractional_positions": [[0.000, 0.000, 0.000], [0.667, 0.333, 0.500], [0.333, 0.667, 0.500]]
}

{
  "formula": "LuTlCu",
  "functional": "PBE",
  "state": "optimized geometry",
  "crystal_system": "tetragonal",
  "formation_enthalpy_0k_mev_per_atom": -82,
  "energy_ev_per_cell": -22.46,
  "rho_kg_m3": 11232,
  "lattice": [[3.423, 0.000, 0.000], [0.000, 3.423, 0.000], [0.000, 0.000, 11.179]],
  "species": ["Lu", "Lu", "Tl", "Tl", "Cu", "Cu"],
  "fractional_positions": [[0.000, 0.000, 0.000], [0.500, 0.500, 0.500], [0.000, 0.000, 0.705], [0.500, 0.500, 0.205], [0.000, 0.000, 0.359], [0.500, 0.500, 0.859]]
}

{
  "formula": "Lu2TlCu",
  "functional": "PBE",
  "state": "optimized geometry",
  "crystal_system": "trigonal",
  "formation_enthalpy_0k_mev_per_atom": -141,
  "energy_ev_per_cell": -48.21,
  "rho_kg_m3": 10282,
  "lattice": [[3.678, 0.000, 0.000], [-1.839, 3.185, 0.000], [0.000, 0.000, 25.559]],
  "species": ["Lu", "Lu", "Lu", "Lu", "Lu", "Lu", "Tl", "Tl", "Tl", "Cu", "Cu", "Cu"],
  "fractional_positions": [[0.000, 0.000, 0.237], [0.000, 0.000, 0.763], [0.333, 0.667, 0.430], [0.333, 0.667, 0.904], [0.667, 0.333, 0.096], [0.667, 0.333, 0.570], [0.000, 0.000, 0.000], [0.333, 0.667, 0.667], [0.667, 0.333, 0.333], [0.000, 0.000, 0.500], [0.333, 0.667, 0.167], [0.667, 0.333, 0.833]]
}